(1)
The following is a DFT calculation (PBE) of an optimized crystal structure of ScBeTe2.

Unit cell a=3.796 b=3.622 c=6.942 alpha=90.00 beta=105.19 gamma=90.00
Sites, in units of the cell vectors:
1 Sc 0.000 0.000 0.000
2 Be 0.000 0.000 0.500
3 Te 0.329 0.500 0.743
4 Te 0.671 0.500 0.257

Calculated values
- Uncorrected energy: -4.42 eV per atom
- Crystal system: monoclinic
- Formation energy from raw total energies: -7.65 kcal/mol of atoms

---

(2)
The following is a DFT calculation (PBE) of an optimized crystal structure of ScBeTe2.

Unit cell a=6.684 b=6.684 c=6.684 alpha=145.61 beta=145.61 gamma=49.43
Sites, in units of the cell vectors:
1 Sc 0.000 0.000 0.000
2 Be 0.750 0.250 0.500
3 Te 0.250 0.750 0.500
4 Te 0.500 0.500 0.000

Calculated values
- Uncorrected energy: -4.23 eV per atom
- Crystal system: tetragonal
- Formation energy from raw total energies: -3.26 kcal/mol of atoms

---

(3)
The following is a DFT calculation (PBE) of an optimized crystal structure of ScBeTe2.

Unit cell a=3.875 b=3.875 c=7.317 alpha=105.42 beta=105.42 gamma=59.91
Sites, in units of the cell vectors:
1 Sc 0.000 0.000 0.000
2 Be 0.500 0.500 0.500
3 Te 0.240 0.240 0.721
4 Te 0.760 0.760 0.279

Calculated values
- Uncorrected energy: -4.54 eV per atom
- Crystal system: monoclinic
- Formation energy from raw total energies: -10.51 kcal/mol of atoms

---

(4)
The following is a DFT calculation (PBE) of an optimized crystal structure of ScBe4Te.

Unit cell a=4.883 b=4.883 c=4.883 alpha=60.00 beta=60.00 gamma=60.00
Sites, in units of the cell vectors:
1 Sc 0.000 0.000 0.000
2 Be 0.367 0.367 0.367
3 Be 0.367 0.367 0.899
4 Be 0.367 0.899 0.367
5 Be 0.899 0.367 0.367
6 Te 0.750 0.750 0.750

Calculated values
- Uncorrected energy: -3.79 eV per atom
- Crystal system: cubic
- Formation energy from raw total energies: 6.36 kcal/mol of atoms

---

(5)
The following is a DFT calculation (PBE) of an optimized crystal structure of ScBeTe2.

Unit cell a=7.115 b=7.115 c=7.115 alpha=126.29 beta=126.29 gamma=79.41
Sites, in units of the cell vectors:
1 Sc 0.000 0.000 0.000
2 Sc 0.750 0.250 0.500
3 Be 0.250 0.750 0.500
4 Be 0.500 0.500 0.000
5 Te 0.181 0.625 0.056
6 Te 0.375 0.431 0.556
7 Te 0.569 0.125 0.944
8 Te 0.875 0.819 0.444

Calculated values
- Uncorrected energy: -4.57 eV per atom
- Crystal system: tetragonal
- Formation energy from raw total energies: -11.07 kcal/mol of atoms

---

(6)
The following is a DFT calculation (PBE) of an optimized crystal structure of ScBeTe3.

Unit cell a=5.013 b=5.013 c=5.013 alpha=90.00 beta=90.00 gamma=90.00
Sites, in units of the cell vectors:
1 Sc 0.000 0.000 0.000
2 Be 0.500 0.500 0.500
3 Te 0.000 0.500 0.500
4 Te 0.500 0.000 0.500
5 Te 0.500 0.500 0.000

Calculated values
- Uncorrected energy: -3.86 eV per atom
- Crystal system: cubic
- Formation energy from raw total energies: 0.79 kcal/mol of atoms